[1]
# Zr3NbW, relaxed, DFT PBE-GGA
data_Zr3NbW
_chemical_formula_sum 'Zr3 Nb1 W1'
_symmetry_space_group_name_H-M 'P m -3 m'
_symmetry_Int_Tables_number 221
_symmetry_space_group_name_Hall '-P 4 2 3'
_cell_length_a 4.9555
_cell_length_b 4.9555
_cell_length_c 4.9555
_cell_angle_alpha 90.00
_cell_angle_beta 90.00
_cell_angle_gamma 90.00
loop_
_atom_site_label
_atom_site_fract_x
_atom_site_fract_y
_atom_site_fract_z
Zr1 0.0000 0.0000 0.5000
Nb1 0.0000 0.0000 0.0000
W1 0.5000 0.5000 0.5000
# Calculated density = 7.51 g/cm3
# D(E_F) = 8.32 states/eV/f.u.
# Formation energy = 7.45 eV/f.u.

---

[2]
# TiNi3Ir, relaxed, DFT PBE-GGA
data_TiNi3Ir
_chemical_formula_sum 'Ti2 Ni6 Ir2'
_symmetry_space_group_name_H-M 'P 1 21/m 1'
_symmetry_Int_Tables_number 11
_cell_length_a 4.3007
_cell_length_b 5.1211
_cell_length_c 6.1771
_cell_angle_alpha 90.00
_cell_angle_beta 110.33
_cell_angle_gamma 90.00
loop_
_symmetry_equiv_pos_as_xyz
'x,y,z'
'-x,-y,-z'
'-x,y+1/2,-z'
'x,-y+1/2,z'
loop_
_atom_site_label
_atom_site_fract_x
_atom_site_fract_y
_atom_site_fract_z
Ti1 0.1053 0.2500 0.2103
Ni1 0.3137 0.0048 0.6259
Ni2 0.4953 0.2500 0.9891
Ir1 0.1228 0.7500 0.2477
# Offset from the most stable computed form = 0.000 eV/f.u.
# Calculated density = 10.83 g/cm3
# D(E_F) = 7.56 states/eV/f.u.
# Formation energy = -1.39 eV/f.u.

---

[3]
# TiNiHPd2, relaxed, DFT PBE-GGA
data_TiNiHPd2
_chemical_formula_sum 'Ti1 Ni1 H1 Pd2'
_symmetry_space_group_name_H-M 'P 4/m m m'
_symmetry_Int_Tables_number 123
_symmetry_space_group_name_Hall '-P 4 2'
_cell_length_a 3.9839
_cell_length_b 3.9839
_cell_length_c 3.7608
_cell_angle_alpha 90.00
_cell_angle_beta 90.00
_cell_angle_gamma 90.00
loop_
_atom_site_label
_atom_site_fract_x
_atom_site_fract_y
_atom_site_fract_z
Ti1 0.0000 0.0000 0.0000
Ni1 0.5000 0.5000 0.0000
H1 0.5000 0.5000 0.5000
Pd1 0.0000 0.5000 0.5000
# Offset from the most stable computed form = 0.025 eV/f.u.
# Calculated density = 8.91 g/cm3
# D(E_F) = 5.45 states/eV/f.u.

---

[4]
# Ba2As2H4Pd, relaxed, DFT PBE-GGA
data_Ba2As2H4Pd
_chemical_formula_sum 'Ba4 As4 H8 Pd2'
_symmetry_space_group_name_H-M 'I 4/m m m'
_symmetry_Int_Tables_number 139
_symmetry_space_group_name_Hall '-I 4 2'
_cell_length_a 6.4158
_cell_length_b 6.4158
_cell_length_c 8.1147
_cell_angle_alpha 90.00
_cell_angle_beta 90.00
_cell_angle_gamma 90.00
loop_
_atom_site_label
_atom_site_fract_x
_atom_site_fract_y
_atom_site_fract_z
Ba1 0.0000 0.5000 0.2500
As1 0.0000 0.0000 0.1492
H1 0.1842 0.1842 0.5000
Pd1 0.0000 0.0000 0.5000
# E = -70.08 eV per cell
# Calculated density = 5.32 g/cm3
# D(E_F) = 5.26 states/eV/f.u.

---

[5]
# KZr2PbO, relaxed, DFT PBE-GGA
data_KZr2PbO
_chemical_formula_sum 'K1 Zr2 Pb1 O1'
_symmetry_space_group_name_H-M 'P 4/m m m'
_symmetry_Int_Tables_number 123
_symmetry_space_group_name_Hall '-P 4 2'
_cell_length_a 5.5237
_cell_length_b 5.5237
_cell_length_c 6.5443
_cell_angle_alpha 90.00
_cell_angle_beta 90.00
_cell_angle_gamma 90.00
loop_
_atom_site_label
_atom_site_fract_x
_atom_site_fract_y
_atom_site_fract_z
K1 0.0000 0.0000 0.0000
Zr1 0.0000 0.5000 0.5000
Pb1 0.0000 0.0000 0.5000
O1 0.5000 0.5000 0.0000
# E_form (uncorrected) = 1.275 eV/atom
# Calculated density = 3.70 g/cm3
# D(E_F) = 7.13 states/eV/f.u.

---

[6]
# HfSc3Ga, relaxed, DFT PBE-GGA
data_HfSc3Ga
_chemical_formula_sum 'Hf1 Sc3 Ga1'
_symmetry_space_group_name_H-M 'P m -3 m'
_symmetry_Int_Tables_number 221
_symmetry_space_group_name_Hall '-P 4 2 3'
_cell_length_a 5.1737
_cell_length_b 5.1737
_cell_length_c 5.1737
_cell_angle_alpha 90.00
_cell_angle_beta 90.00
_cell_angle_gamma 90.00
loop_
_atom_site_label
_atom_site_fract_x
_atom_site_fract_y
_atom_site_fract_z
Hf1 0.0000 0.0000 0.0000
Sc1 0.0000 0.0000 0.5000
Ga1 0.5000 0.5000 0.5000
# Offset from the most stable computed form = 2.162 eV/f.u.
# Calculated density = 4.59 g/cm3
# D(E_F) = 5.40 states/eV/f.u.
# Formation energy = 4.13 eV/f.u.

---

[7]
# Tb2AlZn, relaxed, DFT PBE-GGA
data_Tb2AlZn
_chemical_formula_sum 'Tb6 Al3 Zn3'
_symmetry_space_group_name_H-M 'R -3 m'
_symmetry_Int_Tables_number 166
_symmetry_space_group_name_Hall '-R 3 2"'
_cell_length_a 3.4518
_cell_length_b 3.4518
_cell_length_c 32.0423
_cell_angle_alpha 90.00
_cell_angle_beta 90.00
_cell_angle_gamma 120.00
loop_
_atom_site_label
_atom_site_fract_x
_atom_site_fract_y
_atom_site_fract_z
Tb1 0.0000 0.0000 0.0957
Al1 0.0000 0.0000 0.5000
Zn1 0.0000 0.0000 0.0000
# Calculated density = 6.18 g/cm3
# D(E_F) = 2.30 states/eV/f.u.
# Formation energy = 0.63 eV/f.u.

---

[8]
# KDySnF6, relaxed, DFT PBE-GGA
data_KDySnF6
_chemical_formula_sum 'K1 Dy1 Sn1 F6'
_symmetry_space_group_name_H-M 'P 3'
_symmetry_Int_Tables_number 143
_cell_length_a 6.3244
_cell_length_b 6.3244
_cell_length_c 5.1841
_cell_angle_alpha 90.00
_cell_angle_beta 90.00
_cell_angle_gamma 120.00
loop_
_symmetry_equiv_pos_as_xyz
'x,y,z'
'-y,x-y,z'
'-x+y,-x,z'
loop_
_atom_site_label
_atom_site_fract_x
_atom_site_fract_y
_atom_site_fract_z
K1 0.0000 0.0000 0.0000
Dy1 0.6667 0.3333 0.5008
Sn1 0.3333 0.6667 0.4992
F1 0.3791 0.0251 0.7200
F2 0.3788 0.3522 0.2807
# E_form (uncorrected) = -3.183 eV/atom
# Calculated density = 4.01 g/cm3
# D(E_F) = 0.00 states/eV/f.u.